CuMoRh2: optimized geometry, PBE.

a b c (Å): 3.9238 3.9238 3.6582
angles (deg): 90.00 90.00 90.00
Positions (direct):
Cu: 0.0000 0.0000 0.0000
Mo: 0.5000 0.5000 0.0000
Rh: 0.0000 0.5000 0.5000
Rh: 0.5000 0.0000 0.5000

Properties
Excess energy over the best structure of this formula in the dataset: 135 meV per atom
Crystal system: tetragonal
Theoretical density: 10.77 g/cm3
Energy of formation: 0.000 eV/atom

***

TaTi3Re: optimized geometry, PBE.

a b c (Å): 4.6743 4.6743 4.6743
angles (deg): 90.00 90.00 90.00
Positions (direct):
Ta: 0.0000 0.0000 0.0000
Ti: 0.0000 0.5000 0.5000
Ti: 0.5000 0.0000 0.5000
Ti: 0.5000 0.5000 0.0000
Re: 0.5000 0.5000 0.5000

Properties
Excess energy over the best structure of this formula in the dataset: 966 meV per atom
Crystal system: cubic
Theoretical density: 8.30 g/cm3
Energy of formation: 0.885 eV/atom

***

DyGa4Cu6: optimized geometry, PBE.

a b c (Å): 6.9011 6.9011 4.0319
angles (deg): 90.00 90.00 120.00
Positions (direct):
Dy: 0.0000 0.0000 0.0000
Ga: 0.3333 0.6667 0.0000
Ga: 0.3898 0.1949 0.5000
Ga: 0.8051 0.1949 0.5000
Ga: 0.8051 0.6102 0.5000
Cu: 0.2090 0.4181 0.5000
Cu: 0.2090 0.7910 0.5000
Cu: 0.5400 0.0800 0.0000
Cu: 0.5400 0.4600 0.0000
Cu: 0.5819 0.7910 0.5000
Cu: 0.9200 0.4600 0.0000

Properties
Crystal system: hexagonal
Theoretical density: 8.21 g/cm3
Energy of formation: -0.237 eV/atom

***

CdNi2GeSe: optimized geometry, PBE.

a b c (Å): 4.3718 4.3718 5.3590
angles (deg): 90.00 90.00 90.00
Positions (direct):
Cd: 0.0000 0.0000 0.0000
Ni: 0.0000 0.5000 0.5000
Ni: 0.5000 0.0000 0.5000
Ge: 0.5000 0.5000 0.5000
Se: 0.5000 0.5000 0.0000

Properties
Crystal system: tetragonal
Theoretical density: 6.18 g/cm3

***

| no. | total energy (eV per cell) |
| --- | --- |
| 1 | -29.63 |
| 2 | -43.56 |
| 3 | -43.90 |
| 4 | -18.05 |